Density functional theory data (GGA+U) for NiMoN2F after structural relaxation.

Properties
* energy relative to the lowest polymorph listed for this composition: 0.00 eV/f.u.
* SG: P4/mmm (123)
* VASP energy: -5.220 eV/atom

Lattice parameters (Å, degrees): 3.990 3.990 4.071 90.00 90.00 90.00
Sites, in units of the cell vectors:
Ni 0.000 0.000 0.000
Mo 0.500 0.500 0.500
N 0.000 0.500 0.500
N 0.500 0.000 0.500
F 0.500 0.500 0.000